Record 1
VASP calculation (PBE) on a geometry-optimized Zr2Sb2Pt structure.

Size of the total moment: 0.000 μB/atom
Relative energy among the computed polymorphs: 0 meV per atom
Total DFT energy (no corrections): -33.65 eV/f.u.
V: 21.8 Å³ per atom

Cell: 7.393 7.393 3.996 Å, 90.00 90.00 90.00°
Space group P4/mbm (No. 127)
Unique sites:
Zr 0.153 0.347 0.000
Sb 0.152 0.652 0.500
Pt 0.000 0.000 0.500

=====

Record 2
VASP calculation (PBE) on a geometry-optimized SmTm2Cd8 structure.

Size of the total moment: 0.000 μB/atom
ΔH_f (0 K): -2.55 eV/f.u.
Total DFT energy (no corrections): -23.53 eV/f.u.
V: 24.2 Å³ per atom

Cell: 8.087 15.849 5.333 Å, 90.00 128.95 90.00°
Space group C2/m (No. 12)
Unique sites:
Sm 0.000 0.000 0.000
Tm 0.000 0.312 0.500
Cd 0.000 0.202 0.000
Cd 0.017 0.500 0.268
Cd 0.233 0.132 0.747

=====

Record 3
VASP calculation (PBE) on a geometry-optimized NaAg2AuCl8 structure.

Size of the total moment: 0.130 μB/atom
Total DFT energy (no corrections): -31.75 eV/f.u.
V: 29.9 Å³ per atom

Cell: 6.432 7.431 7.513 Å, 90.00 90.95 90.00°
Space group P2/m (No. 10)
Unique sites:
Na 0.000 0.000 0.000
Ag 0.500 0.253 0.500
Au 0.000 0.500 0.000
Cl 0.223 0.282 0.119
Cl 0.283 0.500 0.614
Cl 0.291 0.000 0.623